A relaxed structure of LaZn2Cu, computed with PBEsol.

Cell and atoms, written as CIF:
```
data_LaZn2Cu
_chemical_formula_sum 'La3 Zn6 Cu3'
_cell_length_a 4.2631
_cell_length_b 4.2631
_cell_length_c 14.8267
_cell_angle_alpha 90.00
_cell_angle_beta 90.00
_cell_angle_gamma 120.00
_space_group_name_H-M_alt 'R 3 m'
_space_group_IT_number 160
_space_group_name_Hall 'R 3 -2"'
loop_
_atom_site_label
_atom_site_type_symbol
_atom_site_fract_x
_atom_site_fract_y
_atom_site_fract_z
La1 La 0.0000 0.0000 0.0000
Zn1 Zn 0.0000 0.0000 0.5149
Zn2 Zn 0.0000 0.0000 0.7967
Cu1 Cu 0.0000 0.0000 0.1992
```

ρ = 7.1 Mg/m³
total magnetic moment = 0.00 μB/f.u.
crystal system = trigonal
calculated formation energy = -0.23 eV/atom